## MoAsIr (PBE)

Data for a relaxed MoAsIr crystal.

Summary:
* symmetry: Pmm2
* formation enthalpy at 0 K: -0.34 eV per formula unit
* excess energy over the best structure of this formula in the dataset: 0 meV/atom
* energy: -24.7 eV per formula unit
* total magnetization: 0.00 μB/f.u.

Lattice parameters (Å, degrees): 2.869 2.840 6.027 90.00 90.00 90.00
Element x y z (fractional)
Mo  0.500  0.500  0.968
Ir  0.000  0.000  0.258
As  0.000  0.500  0.611